(1)
Compound: CoPb2W
Source: Alexandria
Functional: PBE-GGA
Structure: relaxed

a = 8.991 Å, b = 8.991 Å, c = 8.991 Å
α = 20.48°, β = 20.48°, γ = 20.48°
Fractional coordinates of all 4 atoms:
Co 0.000 0.000 0.000
Pb 0.256 0.256 0.256
Pb 0.744 0.744 0.744
W 0.500 0.500 0.500

## Properties
As for the formation energy: 0.950 eV/atom. The crystal system is trigonal. For the energy relative to the lowest polymorph listed for this composition, the calculation gives 535 meV per atom. Its density of states at the Fermi level is 5.426 states/eV/f.u. The total DFT energy (no corrections) is -5.9189 eV/atom.

(2)
Compound: InCuTe2
Source: Alexandria
Functional: PBE-GGA
Structure: relaxed

a = 7.403 Å, b = 7.403 Å, c = 7.403 Å
α = 149.47°, β = 149.46°, γ = 43.73°
Fractional coordinates of all 4 atoms:
In 0.000 0.000 0.000
Cu 0.280 0.780 0.500
Te 0.598 0.598 0.000
Te 0.819 0.319 0.500

## Properties
The crystal system is orthorhombic. For the formation energy (no corrections), the calculation gives 67 meV per atom. Its density of states at the Fermi level is 2.747 states/eV/f.u. The total DFT energy (no corrections) is -3.2121 eV/atom.

Copy entry 2 word for word.
Compound: InCuTe2
Source: Alexandria
Functional: PBE-GGA
Structure: relaxed

a = 7.403 Å, b = 7.403 Å, c = 7.403 Å
α = 149.47°, β = 149.46°, γ = 43.73°
Fractional coordinates of all 4 atoms:
In 0.000 0.000 0.000
Cu 0.280 0.780 0.500
Te 0.598 0.598 0.000
Te 0.819 0.319 0.500

## Properties
The crystal system is orthorhombic. For the formation energy (no corrections), the calculation gives 67 meV per atom. Its density of states at the Fermi level is 2.747 states/eV/f.u. The total DFT energy (no corrections) is -3.2121 eV/atom.

- Which of these has the lowest total DFT energy (no corrections)?
  CoPb2W

- Among the records above, which one has the lowest total DFT energy (no corrections)?
  CoPb2W

- Among the records above, which one has the lowest total DFT energy (no corrections)?
  CoPb2W